Compound: RbRuPbCl6
Source: Alexandria via LeMat-Bulk
Functional: GGA-PBE
Structure: relaxed

Properties
For the total DFT energy (no corrections), the calculation gives -68.8 eV for the cell shown. The value obtained for the spin magnetization is 0.115 μB/atom.

a b c (Å): 7.0703 7.0703 13.7332
angles (deg): 90.00 90.00 120.00
Space group P-31c (No. 163)
Asymmetric unit:
Rb 0.0000 0.0000 0.0000
Ru 0.3333 0.6667 0.2500
Pb 0.3333 0.6667 0.7500
Cl 0.0547 0.3969 0.1488

Compound: Mg2CdSe
Source: Alexandria via LeMat-Bulk
Functional: GGA-PBE
Structure: relaxed

Properties
The distance to the lowest polymorph of the same formula is 1.04 eV per formula unit. For the total DFT energy (no corrections), the calculation gives -17.0 eV for the cell shown. The value obtained for the spin magnetization is 0.000 μB/atom.

a b c (Å): 4.538 4.538 8.486
angles (deg): 90.00 90.00 90.00
Space group I4/mmm (No. 139)
Asymmetric unit:
Mg 0.000 0.500 0.250
Cd 0.000 0.000 0.000
Se 0.000 0.000 0.500

Compound: UPa2Nb
Source: Alexandria via LeMat-Bulk
Functional: GGA-PBE
Structure: relaxed

Properties
The value obtained for the formation energy is 0.150 eV/atom. The distance to the lowest polymorph of the same formula is 0.00 eV per formula unit. For the total DFT energy (no corrections), the calculation gives -39.7 eV for the cell shown. The value obtained for the spin magnetization is 0.000 μB/atom.

a b c (Å): 5.351 5.351 3.081
angles (deg): 90.00 90.00 90.00
Space group P4/mmm (No. 123)
Asymmetric unit:
U 0.000 0.000 0.000
Pa 0.000 0.500 0.500
Nb 0.500 0.500 0.000

Compound: BaZnP2
Source: Alexandria via LeMat-Bulk
Functional: GGA-PBE
Structure: relaxed

Properties
The value obtained for the formation energy is -0.083 eV/atom. For the total DFT energy (no corrections), the calculation gives -14.3 eV for the cell shown. The value obtained for the spin magnetization is 0.000 μB/atom.

a b c (Å): 3.580 3.580 7.069
angles (deg): 90.00 90.00 90.00
Space group P4mm (No. 99)
Asymmetric unit:
Ba 0.000 0.000 0.000
Zn 0.500 0.500 0.673
P 0.000 0.000 0.434
P 0.500 0.500 0.334